Record 1
SiNiP2, optimized geometry, DFT PBE; mass density = 4.14 g cm⁻³; N(E_F) = 1.67 states/eV/cell; total magnetic moment = 0.0000 μB per atom; raw formation energy = -0.0796 eV/atom; symmetry = P4mm, No. 99
1.0
-2.7531 -0.8028 -1.2372
1.4744 -1.4344 -2.3502
0.0703 -5.2039 3.2202
Ni Si P
1 1 2
direct
0.0000 0.0000 0.3144
0.5000 0.5000 0.8067
0.5000 0.5000 0.4332
0.0000 0.0000 0.9414

Record 2
SiNiP2, optimized geometry, DFT PBE; mass density = 4.32 g cm⁻³; N(E_F) = 1.21 states/eV/cell; total magnetic moment = 0.0000 μB per atom; raw formation energy = -0.0417 eV/atom; symmetry = Cm, No. 8
1.0
-3.1298 -0.8132 1.7539
-1.0807 -3.2144 1.4257
0.8097 -0.1100 5.8604
Ni P Si
1 2 1
direct
0.7318 0.7318 0.7582
0.9529 0.9529 0.9572
0.3177 0.3177 0.2573
0.4976 0.4976 0.5274

Record 3
SiNi5P2, optimized geometry, DFT PBE; mass density = 6.87 g cm⁻³; N(E_F) = 4.44 states/eV/cell; total magnetic moment = 0.0000 μB per atom; raw formation energy = -0.4025 eV/atom; symmetry = Immm, No. 71
1.0
-1.5912 1.3416 -1.9034
1.5658 -3.9824 -4.1159
-4.3192 -1.8304 4.4102
Si Ni P
1 5 2
direct
0.0000 0.0000 0.0000
0.0000 0.5000 0.0000
0.6368 0.3506 0.2736
0.3632 0.6494 0.7264
0.6368 0.9230 0.2736
0.3632 0.0770 0.7264
0.1969 0.6969 0.3938
0.8031 0.3031 0.6062

Record 4
SiNiP2, optimized geometry, DFT PBE; mass density = 4.49 g cm⁻³; N(E_F) = 1.40 states/eV/cell; total magnetic moment = 0.0000 μB per atom; raw formation energy = 0.3563 eV/atom; symmetry = Pmmm, No. 47
1.0
-0.8852 1.1200 3.0861
-4.5952 -0.8711 -1.0019
0.3253 -3.1301 1.2293
Ni P Si
1 2 1
direct
0.0000 0.5000 0.5000
0.0000 0.0000 0.0000
0.5000 0.5000 0.0000
0.5000 0.0000 0.5000

Record 5
SiNiP2, optimized geometry, DFT PBE; mass density = 3.90 g cm⁻³; N(E_F) = 4.36 states/eV/cell; total magnetic moment = 0.0000 μB per atom; raw formation energy = -0.1720 eV/atom; symmetry = Cm, No. 8
1.0
5.8336 0.0000 0.0245
0.0000 3.7672 0.0000
-1.7925 0.0000 5.7626
Ni Si P
2 2 4
direct
0.9092 0.0000 0.2180
0.9092 0.5000 0.7180
0.4911 0.0000 0.0415
0.4911 0.5000 0.5415
0.3072 0.0000 0.3369
0.3072 0.5000 0.8369
0.7968 0.0000 0.8392
0.7968 0.5000 0.3392

Record 6
SiNiP3, optimized geometry, DFT PBE; polymorph energy (0 for the lowest one) = 5.27 eV per formula unit; mass density = 3.46 g cm⁻³; N(E_F) = 3.22 states/eV/cell; total magnetic moment = 0.0000 μB per atom; raw formation energy = 0.9923 eV/atom; symmetry = Pm-3m, No. 221
1.0
4.4166 0.0000 0.0000
0.0000 4.4166 0.0000
0.0000 0.0000 4.4166
Ni Si P
1 1 3
direct
0.5000 0.5000 0.5000
0.0000 0.0000 0.0000
0.0000 0.5000 0.0000
0.0000 0.0000 0.5000
0.5000 0.0000 0.0000